# 1
A geometry-optimized Rb2CrSb2 structure, computed with PBE.

The formation energy (no corrections) comes out at -73 meV per atom. The value obtained for the energy above the lowest structure with this stoichiometry is 0 meV/atom. For the final energy, the calculation gives -4.03 eV per atom. The calculated volume is 33.4 Å³ per atom.

It has space group P4/mbm (No. 127), with a = 7.367 Å, b = 7.367 Å, c = 6.149 Å, α = 90.00°, β = 90.00° and γ = 90.00°. Symmetry generates all atoms from Rb at (0.169, 0.331, 0.000), Cr at (0.000, 0.000, 0.500) and Sb at (0.142, 0.642, 0.500).

# 2
A geometry-optimized Rb2CrSb2 structure, computed with PBE.

The formation energy (no corrections) comes out at 536 meV per atom. The value obtained for the energy above the lowest structure with this stoichiometry is 609 meV/atom. For the final energy, the calculation gives -3.42 eV per atom. The calculated volume is 35.7 Å³ per atom.

It has space group I4/mmm (No. 139), with a = 4.734 Å, b = 4.734 Å, c = 15.908 Å, α = 90.00°, β = 90.00° and γ = 90.00°. Symmetry generates all atoms from Rb at (0.000, 0.500, 0.250), Cr at (0.000, 0.000, 0.000) and Sb at (0.000, 0.000, 0.415).

# 3
A geometry-optimized RbCrSb2 structure, computed with PBE.

The formation energy (no corrections) comes out at 427 meV per atom. The value obtained for the energy above the lowest structure with this stoichiometry is 449 meV/atom. For the final energy, the calculation gives -4.28 eV per atom. The calculated volume is 27.8 Å³ per atom.

It has space group Fm-3m (No. 225), with a = 7.635 Å, b = 7.635 Å, c = 7.635 Å, α = 90.00°, β = 90.00° and γ = 90.00°. Symmetry generates all atoms from Rb at (0.000, 0.000, 0.000), Cr at (0.000, 0.000, 0.500) and Sb at (0.250, 0.250, 0.250).